No. 1
The following is a PBE calculation of crystalline PaCo2Ge at its relaxed geometry, from Alexandria via LeMat-Bulk.

Structure (POSCAR):
```
PaCo2Ge
1.0
-2.0961 -2.3378 1.4784
3.3887 -2.0473 1.5671
-0.1835 2.3900 3.5192
Ge Pa Co
1 1 2
Direct
0.5000 0.5000 0.5000
0.5000 0.0000 0.0000
0.0000 0.0000 0.5000
0.0000 0.5000 0.0000
```

Fermi-level density of states in states/eV/cell: 3.7
Calculated volume in Å³/atom: 15.73
Formation enthalpy at 0 K in eV/atom: -0.19

---

No. 2
The following is a PBE calculation of crystalline Pr4SbPI2 at its relaxed geometry, from Alexandria via LeMat-Bulk.

Structure (POSCAR):
```
Pr4SbPI2
1.0
4.3716 0.0000 0.0000
0.0000 7.7650 0.1458
0.0000 -2.7124 7.6818
Pr Sb P I
4 1 1 2
Direct
0.5000 0.2079 0.1951
0.5000 0.7921 0.8049
0.0000 0.2338 0.7980
0.0000 0.7662 0.2020
0.5000 0.5000 0.0000
0.0000 0.0000 0.0000
0.5000 0.0000 0.5000
0.0000 0.5000 0.5000
```

Fermi-level density of states in states/eV/cell: 2.4
Calculated volume in Å³/atom: 32.81
Energy relative to the elements, uncorrected in meV per atom: -1230

---

No. 3
The following is a PBE calculation of crystalline Rb3CeEr2Se6 at its relaxed geometry, from Alexandria via LeMat-Bulk.

Structure (POSCAR):
```
Rb3CeEr2Se6
1.0
7.4181 -0.0013 -0.0003
-3.7084 6.4246 -0.0003
-1.2376 -2.1429 7.9909
Rb Ce Er Se
3 1 2 6
Direct
0.1651 0.8349 0.5000
0.8349 0.1651 0.5000
0.5000 0.5000 0.5000
0.0000 0.0000 0.0000
0.3332 0.6668 0.0000
0.6668 0.3332 0.0000
0.9347 0.5906 0.8042
0.7211 0.7211 0.1954
0.0653 0.4094 0.1958
0.5906 0.9347 0.8042
0.2789 0.2789 0.8046
0.4094 0.0653 0.1958
```

Fermi-level density of states in states/eV/cell: 8.3
Calculated volume in Å³/atom: 31.73
Energy relative to the elements, uncorrected in meV per atom: -1702

---

No. 4
The following is a PBE calculation of crystalline LaMgCl2 at its relaxed geometry, from Alexandria via LeMat-Bulk.

Structure (POSCAR):
```
LaMgCl2
1.0
-3.1226 4.5122 -0.0081
-1.4135 0.6343 -5.2641
-0.4766 -4.4718 3.1443
Cl La Mg
2 1 1
Direct
0.0000 0.0000 0.0000
0.5000 0.5000 0.0000
0.2500 0.7500 0.5000
0.7500 0.2500 0.5000
```

Fermi-level density of states in states/eV/cell: 2.7
Calculated volume in Å³/atom: 24.65
Energy relative to the elements, uncorrected in meV per atom: -1116

---

No. 5
The following is a PBE calculation of crystalline Ho3Ge4Pt2 at its relaxed geometry, from Alexandria via LeMat-Bulk.

Structure (POSCAR):
```
Ho3Ge4Pt2
1.0
-1.6377 3.7752 1.6025
-2.8944 -1.9612 -4.4227
-2.8263 -4.0708 6.7016
Ho Ge Pt
3 4 2
Direct
0.6405 0.2810 0.6868
0.0000 0.0000 0.0000
0.3595 0.7190 0.3132
0.7222 0.4445 0.0612
0.2778 0.5555 0.9388
0.9026 0.8051 0.5741
0.0974 0.1949 0.4259
0.6444 0.2889 0.3121
0.3556 0.7111 0.6879
```

Fermi-level density of states in states/eV/cell: 3.3
Calculated volume in Å³/atom: 20.16
Formation enthalpy at 0 K in eV/atom: -0.93

---

No. 6
The following is a PBE calculation of crystalline Dy3NiSb at its relaxed geometry, from Alexandria via LeMat-Bulk.

Structure (POSCAR):
```
Dy3NiSb
1.0
6.5121 -0.1977 -0.2108
-0.9543 9.1223 -0.2911
-0.9543 -0.8753 9.0849
Dy Ni Sb
12 4 4
Direct
0.6346 0.2185 0.0386
0.8654 0.9614 0.7815
0.3654 0.7815 0.9614
0.1346 0.0386 0.2185
0.8708 0.6844 0.0588
0.6292 0.9412 0.3156
0.1292 0.3156 0.9412
0.3708 0.0588 0.6844
0.4888 0.5236 0.2745
0.0112 0.7255 0.4764
0.5112 0.4764 0.7255
0.9888 0.2745 0.5236
0.2500 0.0472 0.9528
0.7500 0.9528 0.0472
0.2500 0.7511 0.2489
0.7500 0.2489 0.7511
0.9954 0.4439 0.2501
0.5046 0.7499 0.5561
0.0046 0.5561 0.7499
0.4954 0.2501 0.4439
```

Fermi-level density of states in states/eV/cell: 14.2
Calculated volume in Å³/atom: 26.71
Energy relative to the elements, uncorrected in meV per atom: -533

---

No. 7
The following is a PBE calculation of crystalline Nd5Ho4Tm at its relaxed geometry, from Alexandria via LeMat-Bulk.

Structure (POSCAR):
```
Nd5Ho4Tm
1.0
-1.6173 3.2075 0.4066
-2.2269 -1.4347 2.4600
16.3330 5.9232 18.2392
Nd Ho Tm
5 4 1
Direct
0.5000 0.5000 0.0990
0.5000 0.5000 0.2995
0.5000 0.5000 0.5000
0.5000 0.5000 0.7005
0.5000 0.5000 0.9010
0.0000 0.0000 0.1992
0.0000 0.0000 0.3998
0.0000 0.0000 0.6002
0.0000 0.0000 0.8008
0.0000 0.0000 0.0000
```

Fermi-level density of states in states/eV/cell: 13.8
Calculated volume in Å³/atom: 32.92
Formation enthalpy at 0 K in eV/atom: 0.02

---

No. 8
The following is a PBE calculation of crystalline CoTcCl2 at its relaxed geometry, from Alexandria via LeMat-Bulk.

Structure (POSCAR):
```
CoTcCl2
1.0
-0.9889 -3.2958 -2.9252
-2.2080 -3.6801 1.4064
-4.2806 -0.6866 -1.2657
Co Tc Cl
1 1 2
Direct
0.5000 0.5000 0.5000
0.2500 0.2500 0.2500
0.0000 0.0000 0.0000
0.7500 0.7500 0.7500
```

Fermi-level density of states in states/eV/cell: 0.8
Calculated volume in Å³/atom: 16.28
Energy relative to the elements, uncorrected in meV per atom: 979

---

No. 9
The following is a PBE calculation of crystalline La2InSb2 at its relaxed geometry, from Alexandria via LeMat-Bulk.

Structure (POSCAR):
```
La2InSb2
1.0
-3.0342 -3.3830 -7.2693
7.6351 1.1536 -3.7238
1.2274 -3.9073 1.3061
Sb In La
4 2 4
Direct
0.3516 0.8516 0.0000
0.8516 0.6484 0.0000
0.6484 0.1484 0.0000
0.1484 0.3516 0.0000
0.0000 0.0000 0.0000
0.5000 0.5000 0.0000
0.1562 0.6562 0.5000
0.6562 0.8438 0.5000
0.8438 0.3438 0.5000
0.3438 0.1562 0.5000
```

Fermi-level density of states in states/eV/cell: 5.3
Calculated volume in Å³/atom: 31.59
Energy relative to the elements, uncorrected in meV per atom: -891

---

No. 10
The following is a PBE calculation of crystalline La2Tl2Bi at its relaxed geometry, from Alexandria via LeMat-Bulk.

Structure (POSCAR):
```
La2Tl2Bi
1.0
8.3307 0.0000 0.0000
0.0000 8.3307 0.0000
0.0000 0.0000 4.6808
Tl Bi La
4 2 4
Direct
0.3701 0.8701 0.0000
0.8701 0.6299 0.0000
0.6299 0.1299 0.0000
0.1299 0.3701 0.0000
0.0000 0.0000 0.0000
0.5000 0.5000 0.0000
0.1707 0.6707 0.5000
0.6707 0.8293 0.5000
0.8293 0.3293 0.5000
0.3293 0.1707 0.5000
```

Fermi-level density of states in states/eV/cell: 11.3
Calculated volume in Å³/atom: 32.49
Formation enthalpy at 0 K in eV/atom: -0.47

---

No. 11
The following is a PBE calculation of crystalline Fe2AgAs at its relaxed geometry, from Alexandria via LeMat-Bulk.

Structure (POSCAR):
```
Fe2AgAs
1.0
4.3998 -0.0206 0.0097
3.3785 2.8186 0.0097
0.7588 0.2729 4.9059
Ag As Fe
1 1 2
Direct
0.4884 0.4884 0.5182
0.2686 0.2686 0.1820
0.0089 0.0089 0.9956
0.7342 0.7342 0.8042
```

Fermi-level density of states in states/eV/cell: 3.1
Calculated volume in Å³/atom: 15.29
Formation enthalpy at 0 K in eV/atom: 0.26

---

No. 12
The following is a PBE calculation of crystalline K2Ni2Au at its relaxed geometry, from Alexandria via LeMat-Bulk.

Structure (POSCAR):
```
K2Ni2Au
1.0
6.5372 0.0000 0.0000
0.0000 6.5372 0.0000
0.0000 0.0000 5.2693
Ni K Au
4 4 2
Direct
0.3762 0.8762 0.0000
0.8762 0.6238 0.0000
0.6238 0.1238 0.0000
0.1238 0.3762 0.0000
0.1850 0.6850 0.5000
0.6850 0.8150 0.5000
0.8150 0.3150 0.5000
0.3150 0.1850 0.5000
0.0000 0.0000 0.0000
0.5000 0.5000 0.0000
```

Fermi-level density of states in states/eV/cell: 7.6
Calculated volume in Å³/atom: 22.52
Formation enthalpy at 0 K in eV/atom: 0.34